CaAs2P | PBE | relaxed

Structure (CIF):
```
data_CaAs2P
_chemical_formula_sum 'Ca2 As4 P2'
_space_group_name_H-M_alt 'C m m m'
_space_group_IT_number 65
_space_group_name_Hall '-C 2 2'
_cell_length_a 5.1180
_cell_length_b 5.7260
_cell_length_c 5.6979
_cell_angle_alpha 90.00
_cell_angle_beta 90.00
_cell_angle_gamma 90.00
loop_
_atom_site_label
_atom_site_fract_x
_atom_site_fract_y
_atom_site_fract_z
Ca1 0.0000 0.0000 0.0000
As1 0.0000 0.5000 0.2861
P1 0.0000 0.0000 0.5000
```

Output
ρ: 4.39 g cm⁻³
total DFT energy (no corrections): -4.3065 eV per atom
DFT formation energy: -12.4 kJ/mol of atoms